--- a ---
11
Lattice="-2.095 3.320 -0.908 0.288 -0.943 -4.111 -11.380 -5.221 -1.773" Properties=species:S:1:pos:R:3 comment="Np3Si4Pt4 PBE-GGA relaxed" density_g_cm3=12.7 pbc="T T T"
Np -8.171 -3.817 -4.045
Np -5.016 0.973 -2.747
Np 0.000 0.000 0.000
Si -2.862 -0.571 -4.416
Si -7.092 -0.856 -4.647
Si -6.095 -1.988 -2.144
Si -10.325 -2.273 -2.376
Pt -2.037 0.496 -2.429
Pt -4.921 -1.829 -4.272
Pt -8.266 -1.015 -2.519
Pt -11.150 -3.340 -4.362


--- b ---
11
Lattice="-2.639 2.691 1.699 -0.738 -2.562 2.912 11.072 4.885 4.429" Properties=species:S:1:pos:R:3 comment="Np3Si4Pt4 PBE-GGA relaxed" density_g_cm3=13.0 pbc="T T T"
Pt 3.016 2.546 5.682
Pt 6.257 5.342 6.288
Pt 4.679 2.468 3.358
Pt 1.437 -0.329 2.752
Np 1.365 2.761 2.776
Np 6.329 2.252 6.264
Np 0.000 0.000 0.000
Si 8.508 4.488 6.107
Si 4.453 4.390 4.993
Si 3.241 0.623 4.047
Si -0.814 0.526 2.933


Which is most stable? The ranking, best first, is b, a.


--- a ---
4
Lattice="4.195 0.000 0.000 2.097 3.633 0.000 2.097 1.211 6.919" Properties=species:S:1:pos:R:3 comment="SrNpPt2 PBE-GGA relaxed" density_g_cm3=11.3 pbc="T T T"
Pt 2.097 1.211 1.407
Pt 6.292 3.633 5.512
Np 0.000 0.000 0.000
Sr 4.195 2.422 3.459


--- b ---
4
Lattice="3.551 0.000 0.000 0.000 3.551 0.000 0.000 0.000 7.482" Properties=species:S:1:pos:R:3 comment="SrNpPt2 PBE-GGA relaxed" density_g_cm3=12.6 pbc="T T T"
Np 1.775 1.775 0.000
Pt 0.000 0.000 1.558
Pt 0.000 0.000 5.924
Sr 1.775 1.775 3.741


Which is most stable? The ranking, best first, is b, a.


--- a ---
4
Lattice="4.085 0.000 0.000 2.042 3.538 0.000 2.042 1.179 6.444" Properties=species:S:1:pos:R:3 comment="TmNpPt2 PBE-GGA relaxed" density_g_cm3=14.2 pbc="T T T"
Pt 6.127 3.538 4.872
Pt 2.042 1.179 1.572
Np 0.000 0.000 0.000
Tm 4.085 2.358 3.222


--- b ---
4
Lattice="-0.586 1.849 -4.519 -0.344 -3.019 -3.867 -4.296 -0.527 -2.334" Properties=species:S:1:pos:R:3 comment="TmNpPt2 PBE-GGA relaxed" density_g_cm3=15.7 pbc="T T T"
Pt -3.919 -1.272 -8.040
Pt -1.306 -0.424 -2.680
Tm -2.613 -0.848 -5.360
Np 0.000 0.000 0.000


Which is most stable? The ranking, best first, is b, a.